Rb5Hg6Au: relaxed, PBE-GGA.

Cell: 6.586 9.478 10.181 Å, 110.70 99.33 110.28°
Atoms (fractional coordinates):
Au 0.000 0.000 0.000
Hg 0.113 0.517 0.383
Hg 0.270 0.866 0.383
Hg 0.363 0.288 0.000
Hg 0.637 0.712 0.000
Hg 0.730 0.134 0.617
Hg 0.887 0.483 0.617
Rb 0.390 0.890 0.780
Rb 0.692 0.692 0.384
Rb 0.000 0.500 0.000
Rb 0.308 0.308 0.616
Rb 0.610 0.110 0.220

Crystal system: monoclinic
Calculated formation energy (eV per formula unit): -2.2